Record 1
A geometry-optimized TmAs2Au structure. Source: Alexandria via LeMat-Bulk, functional GGA-PBE.

Results
- Calculated volume: 354.9 Å³ per cell
- N(E_F): 1.57 states/eV/f.u.
- E_tot: -4.441 eV per atom
- Magnetic moment: 0.0 μB per cell

Lattice parameters (Å, degrees): 5.0668 5.0668 15.9616 90.00 90.00 120.00
With the nearest neighbours (Å) after each atom.
Space group R-3m (No. 166, hexagonal axes)
Inequivalent atoms, fractional coordinates:
Tm (0.0000, 0.0000, 0.0000)  6 As 2.93
As (0.0000, 0.0000, 0.3459)  1 Au 2.46
Au (0.0000, 0.0000, 0.5000)  2 As 2.46

=====

Record 2
A geometry-optimized Dy4ZrAs5 structure. Source: Alexandria via LeMat-Bulk, functional GGA-PBE.

Results
- Calculated volume: 473.1 Å³ per cell
- N(E_F): 2.25 states/eV/f.u.
- E_tot: -6.468 eV per atom
- Magnetic moment: 0.0 μB per cell

Lattice parameters (Å, degrees): 9.0725 9.0725 5.7484 90.00 90.00 90.00
With the nearest neighbours (Å) after each atom.
Space group I4/m (No. 87)
Inequivalent atoms, fractional coordinates:
Dy (0.0972, 0.6995, 0.0000)  6 As 2.87-2.92
Zr (0.0000, 0.0000, 0.5000)  6 As 2.79-2.87
As (0.0000, 0.0000, 0.0000)  4 Dy 2.87, 2 Zr 2.87
As (0.0980, 0.7082, 0.5000)  1 Zr 2.79, 5 Dy 2.88-2.92

=====

Record 3
A geometry-optimized BiTeRu2 structure. Source: Alexandria via LeMat-Bulk, functional GGA-PBE.

Results
- Energy above the lowest structure with this stoichiometry: 0 meV per atom
- Calculated volume: 303.0 Å³ per cell
- N(E_F): 3.33 states/eV/f.u.
- ΔE_f (raw): 439 meV per atom
- Magnetic moment: 5.1 μB per cell

Lattice parameters (Å, degrees): 6.7164 6.7164 6.7164 90.00 90.00 90.00
With the nearest neighbours (Å) after each atom.
Space group Fm-3m (No. 225)
Inequivalent atoms, fractional coordinates:
Bi (0.0000, 0.0000, 0.0000)  8 Ru 2.91
Te (0.0000, 0.0000, 0.5000)  8 Ru 2.91
Ru (0.2500, 0.2500, 0.2500)  4 Bi 2.91, 4 Te 2.91

=====

Record 4
A geometry-optimized Y3Cd11 structure. Source: Alexandria via LeMat-Bulk, functional GGA-PBE.

Results
- Calculated volume: 668.9 Å³ per cell
- N(E_F): 7.31 states/eV/f.u.
- E_tot: -2.331 eV per atom
- Magnetic moment: 0.0 μB per cell

Lattice parameters (Å, degrees): 4.7476 10.9554 12.8601 90.00 90.00 90.00
With the nearest neighbours (Å) after each atom.
Space group Immm (No. 71)
Inequivalent atoms, fractional coordinates:
Y (0.0000, 0.0000, 0.0000)  12 Cd 3.26-3.60
Y (0.0000, 0.0000, 0.2864)  14 Cd 3.27-3.63
Cd (0.0000, 0.1617, 0.5000)  8 Cd 2.90-3.13
Cd (0.0000, 0.2773, 0.1498)  6 Cd 2.89-3.13
Cd (0.0000, 0.3726, 0.3639)  5 Cd 2.79-2.94
Cd (0.0000, 0.5000, 0.0000)  8 Cd 2.96-3.11

=====

Record 5
A geometry-optimized Tm8Mg2Sc structure. Source: Alexandria via LeMat-Bulk, functional GGA-PBE.

Results
- Calculated volume: 646.4 Å³ per cell
- N(E_F): 15.23 states/eV/f.u.
- E_tot: -3.958 eV per atom
- Magnetic moment: 0.0 μB per cell

Lattice parameters (Å, degrees): 8.5185 15.2720 5.4863 90.00 115.09 90.00
With the nearest neighbours (Å) after each atom.
Space group C2/m (No. 12)
Inequivalent atoms, fractional coordinates:
Tm (0.0000, 0.2069, 0.0000)  2 Mg 3.12, 1 Sc 3.16, 2 Tm 3.47
Tm (0.1048, 0.5000, 0.7996)  3 Tm 3.00-3.31, 1 Sc 3.07, 2 Mg 3.34
Tm (0.2093, 0.1095, 0.6272)  2 Mg 3.13-3.39, 4 Tm 3.23-3.47
Mg (0.0000, 0.3047, 0.5000)  8 Tm 3.12-3.39
Sc (0.0000, 0.0000, 0.0000)  4 Tm 3.07-3.16

=====

Record 6
A geometry-optimized HfCdTeRh2 structure. Source: Alexandria via LeMat-Bulk, functional GGA-PBE.

Results
- Calculated volume: 123.0 Å³ per cell
- N(E_F): 6.82 states/eV/f.u.
- ΔE_f (raw): 663 meV per atom
- Magnetic moment: 0.0 μB per cell

Lattice parameters (Å, degrees): 4.8616 4.8616 5.2044 90.00 90.00 90.00
With the nearest neighbours (Å) after each atom.
Space group P4/mmm (No. 123)
Inequivalent atoms, fractional coordinates:
Hf (0.0000, 0.0000, 0.0000)  2 Te 2.60
Cd (0.5000, 0.5000, 0.0000)  4 Hf 3.44, 8 Rh 3.56
Te (0.0000, 0.0000, 0.5000)  4 Rh 2.43, 2 Hf 2.60
Rh (0.0000, 0.5000, 0.5000)  2 Te 2.43

=====

Record 7
A geometry-optimized ZrTiBeCr structure. Source: Alexandria via LeMat-Bulk, functional GGA-PBE.

Results
- Calculated volume: 241.2 Å³ per cell
- N(E_F): 5.02 states/eV/f.u.
- E_tot: -7.365 eV per atom
- Magnetic moment: 3.1 μB per cell

Lattice parameters (Å, degrees): 6.2250 6.2250 6.2250 90.00 90.00 90.00
With the nearest neighbours (Å) after each atom.
Space group F-43m (No. 216)
Inequivalent atoms, fractional coordinates:
Zr (0.0000, 0.0000, 0.0000)  4 Cr 2.70, 4 Be 2.70
Ti (0.0000, 0.0000, 0.5000)  4 Cr 2.70, 4 Be 2.70
Be (0.2500, 0.2500, 0.7500)  4 Zr 2.70, 4 Ti 2.70
Cr (0.2500, 0.2500, 0.2500)  4 Zr 2.70, 4 Ti 2.70

=====

Record 8
A geometry-optimized MgTa2Te structure. Source: Alexandria via LeMat-Bulk, functional GGA-PBE.

Results
- Energy above the lowest structure with this stoichiometry: 317 meV per atom
- Calculated volume: 155.7 Å³ per cell
- N(E_F): 3.07 states/eV/f.u.
- ΔE_f (raw): 431 meV per atom
- Magnetic moment: 0.0 μB per cell

Lattice parameters (Å, degrees): 5.9490 8.0198 3.2635 90.00 90.00 90.00
With the nearest neighbours (Å) after each atom.
Space group Cmmm (No. 65)
Inequivalent atoms, fractional coordinates:
Mg (0.0000, 0.0000, 0.0000)  2 Te 2.97, 8 Ta 2.98, 2 Mg 3.26
Ta (0.2500, 0.2500, 0.5000)  4 Ta 2.97-3.26, 4 Te 2.98, 4 Mg 2.98
Te (0.0000, 0.5000, 0.0000)  2 Mg 2.97, 8 Ta 2.98, 2 Te 3.26

=====

Record 9
A geometry-optimized Li8GaSn6 structure. Source: Alexandria via LeMat-Bulk, functional GGA-PBE.

Results
- Calculated volume: 923.4 Å³ per cell
- N(E_F): 4.62 states/eV/f.u.
- E_tot: -3.038 eV per atom
- Magnetic moment: 0.0 μB per cell

Lattice parameters (Å, degrees): 7.9806 7.9806 16.7411 90.00 90.00 120.00
With the nearest neighbours (Å) after each atom.
Space group R-3 (No. 148, hexagonal axes)
Inequivalent atoms, fractional coordinates:
Li (0.0000, 0.0000, 0.2346)  6 Sn 2.96-3.01, 3 Li 2.98
Li (0.0309, 0.2623, 0.3941)  1 Ga 2.66, 2 Sn 2.77-2.94, 2 Li 2.77-2.98
Ga (0.0000, 0.0000, 0.5000)  6 Li 2.66
Sn (0.0265, 0.2553, 0.9030)  6 Li 2.77-3.01, 1 Sn 3.03

=====

Record 10
A geometry-optimized SmZnGe2 structure. Source: Alexandria via LeMat-Bulk, functional GGA-PBE.

Results
- Calculated volume: 251.0 Å³ per cell
- N(E_F): 1.97 states/eV/f.u.
- E_tot: -4.144 eV per atom
- Magnetic moment: 0.0 μB per cell

Lattice parameters (Å, degrees): 4.3975 4.3975 14.9872 90.00 90.00 120.00
With the nearest neighbours (Å) after each atom.
Space group R-3m (No. 166, hexagonal axes)
Inequivalent atoms, fractional coordinates:
Sm (0.0000, 0.0000, 0.0000)  8 Ge 3.08-3.25
Zn (0.0000, 0.0000, 0.5000)  6 Ge 2.65
Ge (0.0000, 0.0000, 0.2168)  3 Zn 2.65, 3 Ge 2.95

=====

Record 11
A geometry-optimized KZr2Pt4 structure. Source: Alexandria via LeMat-Bulk, functional GGA-PBE.

Results
- Calculated volume: 348.8 Å³ per cell
- N(E_F): 4.73 states/eV/f.u.
- E_tot: -5.359 eV per atom
- Magnetic moment: 0.0 μB per cell

Lattice parameters (Å, degrees): 5.0625 5.0625 13.6098 90.00 90.00 90.00
With the nearest neighbours (Å) after each atom.
Space group I4/mmm (No. 139)
Inequivalent atoms, fractional coordinates:
K (0.0000, 0.0000, 0.0000)  6 Pt 2.53-2.82
Zr (0.0000, 0.0000, 0.3843)  1 Pt 2.41
Pt (0.0000, 0.0000, 0.2069)  1 Zr 2.41
Pt (0.0000, 0.5000, 0.0000)  2 K 2.53

=====

Record 12
A geometry-optimized YAgS2 structure. Source: Alexandria via LeMat-Bulk, functional GGA-PBE.

Results
- Calculated volume: 181.2 Å³ per cell
- N(E_F): 0.00 states/eV/f.u.
- ΔE_f (raw): -1301 meV per atom
- Magnetic moment: 0.0 μB per cell

Lattice parameters (Å, degrees): 4.0847 6.5855 6.8453 100.25 90.00 90.26
With the nearest neighbours (Å) after each atom.
Space group P1 (No. 1)
Inequivalent atoms, fractional coordinates:
Y (0.0000, 0.0000, 0.0000)  6 S 2.75-2.77
Y (0.4879, 0.0023, 0.5010)  6 S 2.75-2.77
Ag (0.2265, 0.5016, 0.0030)  4 S 2.63-2.68
Ag (0.2587, 0.5006, 0.4979)  4 S 2.64-2.67
S (0.4947, 0.7705, 0.7979)  2 Ag 2.64-2.68, 3 Y 2.75-2.77
S (0.4981, 0.2305, 0.2018)  2 Ag 2.64-2.67, 3 Y 2.75-2.77
S (0.9897, 0.7718, 0.2992)  2 Ag 2.63-2.67, 3 Y 2.75-2.77
S (0.9931, 0.2317, 0.7030)  2 Ag 2.64-2.67, 3 Y 2.75-2.77

=====

Record 13
A geometry-optimized InAgIr2 structure. Source: Alexandria via LeMat-Bulk, functional GGA-PBE.

Results
- Calculated volume: 66.6 Å³ per cell
- N(E_F): 5.22 states/eV/f.u.
- E_tot: -5.483 eV per atom
- Magnetic moment: 0.0 μB per cell

Lattice parameters (Å, degrees): 3.2331 3.2331 6.3752 90.00 90.00 90.00
With the nearest neighbours (Å) after each atom.
Space group P4/mmm (No. 123)
Inequivalent atoms, fractional coordinates:
In (0.0000, 0.0000, 0.0000)  8 Ir 2.78
Ag (0.0000, 0.0000, 0.5000)  8 Ir 2.79
Ir (0.5000, 0.5000, 0.2479)  4 In 2.78, 4 Ag 2.79

=====

Record 14
A geometry-optimized Nb2CoHg2Se6 structure. Source: Alexandria via LeMat-Bulk, functional GGA-PBE.

Results
- Calculated volume: 583.7 Å³ per cell
- N(E_F): 5.81 states/eV/f.u.
- ΔE_f (raw): -464 meV per atom
- Magnetic moment: 1.1 μB per cell

Lattice parameters (Å, degrees): 6.0779 10.2399 9.8349 90.00 107.51 90.00
With the nearest neighbours (Å) after each atom.
Space group C2/m (No. 12)
Inequivalent atoms, fractional coordinates:
Nb (0.0000, 0.1774, 0.0000)  6 Se 2.58-2.62
Co (0.0000, 0.5000, 0.0000)  6 Se 2.44-2.47
Hg (0.0000, 0.3177, 0.5000)  3 Hg 3.34-3.73, 4 Se 3.54-3.71
Se (0.2367, 0.5000, 0.8384)  1 Co 2.44, 2 Nb 2.62
Se (0.2479, 0.3468, 0.1733)  1 Co 2.47, 2 Nb 2.58-2.62

=====

Record 15
A geometry-optimized NaLa2Pb3Se6 structure. Source: Alexandria via LeMat-Bulk, functional GGA-PBE.

Results
- Calculated volume: 718.5 Å³ per cell
- N(E_F): 3.40 states/eV/f.u.
- ΔE_f (raw): -1148 meV per atom
- Magnetic moment: 0.0 μB per cell

Lattice parameters (Å, degrees): 18.9737 4.5149 8.6161 90.00 103.22 90.00
With the nearest neighbours (Å) after each atom.
Space group C2/m (No. 12)
Inequivalent atoms, fractional coordinates:
Na (0.0000, 0.0000, 0.0000)  6 Se 3.11-3.14
La (0.1645, 0.5000, 0.3217)  6 Se 2.94-3.07
Pb (0.0000, 0.0000, 0.5000)  6 Se 3.13-3.14
Pb (0.1605, 0.5000, 0.8484)  6 Se 3.01-3.35
Se (0.0054, 0.5000, 0.2514)  1 La 2.94, 3 Pb 3.07-3.13, 2 Na 3.11
Se (0.1698, 0.0000, 0.0839)  3 Pb 3.01-3.14, 2 La 3.07, 1 Na 3.14
Se (0.1698, 0.0000, 0.5661)  3 La 3.07, 3 Pb 3.14-3.35

=====

Record 16
A geometry-optimized Na2LiSn2 structure. Source: Alexandria via LeMat-Bulk, functional GGA-PBE.

Results
- Energy above the lowest structure with this stoichiometry: 140 meV per atom
- Calculated volume: 276.9 Å³ per cell
- N(E_F): 1.83 states/eV/f.u.
- Magnetic moment: 0.0 μB per cell

Lattice parameters (Å, degrees): 8.7782 8.7782 3.5931 90.00 90.00 90.00
With the nearest neighbours (Å) after each atom.
Space group P4/mbm (No. 127)
Inequivalent atoms, fractional coordinates:
Na (0.1777, 0.3223, 0.0000)  6 Sn 3.09-3.21, 2 Li 3.23
Li (0.0000, 0.0000, 0.0000)  4 Na 3.23, 2 Li 3.59
Sn (0.1193, 0.6193, 0.5000)  1 Sn 2.96, 6 Na 3.09-3.21

=====

Record 17
A geometry-optimized InRu2I structure. Source: Alexandria via LeMat-Bulk, functional GGA-PBE.

Results
- Energy above the lowest structure with this stoichiometry: 0 meV per atom
- Calculated volume: 288.8 Å³ per cell
- N(E_F): 5.18 states/eV/f.u.
- ΔE_f (raw): 724 meV per atom
- Magnetic moment: 4.1 μB per cell

Lattice parameters (Å, degrees): 6.6101 6.6101 6.6101 90.00 90.00 90.00
With the nearest neighbours (Å) after each atom.
Space group Fm-3m (No. 225)
Inequivalent atoms, fractional coordinates:
In (0.0000, 0.0000, 0.0000)  8 Ru 2.86
Ru (0.2500, 0.2500, 0.2500)  4 In 2.86, 4 I 2.86
I (0.0000, 0.0000, 0.5000)  8 Ru 2.86

=====

Record 18
A geometry-optimized PaAl4Tc structure. Source: Alexandria via LeMat-Bulk, functional GGA-PBE.

Results
- Calculated volume: 218.8 Å³ per cell
- N(E_F): 3.32 states/eV/f.u.
- E_tot: -6.179 eV per atom
- Magnetic moment: 0.0 μB per cell

Lattice parameters (Å, degrees): 7.6173 4.2371 6.7784 90.00 90.00 90.00
With the nearest neighbours (Å) after each atom.
Space group Pmma (No. 51)
Inequivalent atoms, fractional coordinates:
Pa (0.2500, 0.0000, 0.1223)  1 Tc 2.67
Al (0.0000, 0.0000, 0.5000)  2 Tc 2.46
Al (0.0600, 0.5000, 0.8108)  2 Tc 2.62, 3 Al 2.72-2.89
Al (0.2500, 0.5000, 0.4592)  8 Al 2.79-2.99, 2 Tc 2.80, 2 Pa 3.11
Tc (0.2500, 0.0000, 0.7291)  6 Al 2.46-2.62, 1 Pa 2.67

=====

Record 19
A geometry-optimized ScHgGeBr2 structure. Source: Alexandria via LeMat-Bulk, functional GGA-PBE.

Results
- Calculated volume: 158.5 Å³ per cell
- N(E_F): 5.54 states/eV/f.u.
- ΔE_f (raw): -211 meV per atom
- Magnetic moment: 0.9 μB per cell

Lattice parameters (Å, degrees): 5.1198 5.1198 6.0485 90.00 90.00 90.00
With the nearest neighbours (Å) after each atom.
Space group P4/mmm (No. 123)
Inequivalent atoms, fractional coordinates:
Sc (0.0000, 0.0000, 0.0000)  4 Br 2.56
Hg (0.0000, 0.0000, 0.5000)  2 Sc 3.02
Ge (0.5000, 0.5000, 0.5000)  4 Hg 3.62, 8 Br 3.96
Br (0.0000, 0.5000, 0.0000)  2 Sc 2.56

=====

Record 20
A geometry-optimized Ce3Ho3MgSe8 structure. Source: Alexandria via LeMat-Bulk, functional GGA-PBE.

Results
- Calculated volume: 1182.0 Å³ per cell
- N(E_F): 20.68 states/eV/f.u.
- ΔE_f (raw): -1738 meV per atom
- Magnetic moment: 10.2 μB per cell

Lattice parameters (Å, degrees): 8.1711 8.1711 20.4416 90.00 90.00 120.00
With the nearest neighbours (Å) after each atom.
Space group R-3m (No. 166, hexagonal axes)
Inequivalent atoms, fractional coordinates:
Ce (0.0000, 0.5000, 0.0000)  6 Se 2.96
Ho (0.0000, 0.5000, 0.5000)  6 Se 2.86
Mg (0.0000, 0.0000, 0.5000)  6 Se 2.82
Se (0.0000, 0.0000, 0.2456)  3 Ho 2.86, 3 Ce 2.96
Se (0.0048, 0.5024, 0.2444)  1 Mg 2.82, 2 Ho 2.86, 2 Ce 2.96